Record 1
Crystalline BaTb2SmO6 at its relaxed geometry. Source: Alexandria via LeMat-Bulk, functional PBE-GGA.

It has space group Cmmm (No. 65), with a = 8.6047 Å, b = 8.6319 Å, c = 4.3823 Å, α = 90.00°, β = 90.00° and γ = 90.00°. The asymmetric unit holds Ba at (0.0000, 0.0000, 0.0000), Tb at (0.2500, 0.2500, 0.5000), Sm at (0.0000, 0.5000, 0.0000), O at (0.0000, 0.1806, 0.5000), O at (0.1533, 0.5000, 0.5000) and O at (0.2500, 0.2500, 0.0000).

The uncorrected formation energy comes out at -2.8715 eV per atom. As for the total DFT energy (no corrections): -7.437 eV per atom. The value obtained for the energy above the lowest structure with this stoichiometry is 0.184 eV per atom. The density of states at the Fermi level comes out at 0.681 states/eV per atom.

Record 2
Crystalline Li2CrAsIr at its relaxed geometry. Source: Alexandria via LeMat-Bulk, functional PBE-GGA.

It has space group P4/mmm (No. 123), with a = 4.3563 Å, b = 4.3563 Å, c = 4.5365 Å, α = 90.00°, β = 90.00° and γ = 90.00°. The asymmetric unit holds Li at (0.0000, 0.5000, 0.0000), Cr at (0.0000, 0.0000, 0.0000), As at (0.0000, 0.0000, 0.5000) and Ir at (0.5000, 0.5000, 0.5000).

As for the total DFT energy (no corrections): -4.444 eV per atom. Its energy relative to the elements is 0.948 eV per atom. The density of states at the Fermi level comes out at 0.595 states/eV per atom.